Record 1
# LiAgGeS3

A relaxed LiAgGeS3 crystal (PBE-GGA, OQMD).

a = 6.826 Å, b = 6.826 Å, c = 9.863 Å
α = 90.00°, β = 90.00°, γ = 29.64°
Element x y z (fractional)
Ge 0.000 0.000 0.500
Ge 0.000 0.000 0.000
Li 0.663 0.663 0.250
Li 0.337 0.337 0.750
S 0.369 0.369 0.010
S 0.369 0.369 0.490
S 0.039 0.039 0.250
S 0.631 0.631 0.510
S 0.631 0.631 0.990
S 0.961 0.961 0.750
Ag 0.354 0.354 0.250
Ag 0.646 0.646 0.750

E_tot = -47.25 eV for the cell shown
Space-group type = Cmcm

Record 2
# LiAg3GeS4

A relaxed LiAg3GeS4 crystal (PBE-GGA, OQMD).

a = 6.493 Å, b = 7.368 Å, c = 10.217 Å
α = 90.00°, β = 107.85°, γ = 90.00°
Element x y z (fractional)
S 0.558 0.250 0.522
S 0.035 0.006 0.722
S 0.442 0.750 0.478
S 0.965 0.506 0.278
S 0.269 0.750 0.086
S 0.965 0.994 0.278
S 0.035 0.494 0.722
S 0.731 0.250 0.914
Ge 0.175 0.750 0.274
Ge 0.825 0.250 0.726
Li 0.005 0.750 0.865
Li 0.995 0.250 0.135
Ag 0.758 0.954 0.451
Ag 0.758 0.546 0.451
Ag 0.242 0.046 0.549
Ag 0.657 0.750 0.185
Ag 0.343 0.250 0.815
Ag 0.242 0.454 0.549

Energy above the most stable polymorph in this dataset = 0 meV per atom
Space-group type = P2_1/m

Record 3
# LiAg3GeS4

A relaxed LiAg3GeS4 crystal (PBE-GGA, OQMD).

a = 6.211 Å, b = 6.211 Å, c = 6.211 Å
α = 90.00°, β = 90.00°, γ = 90.00°
Element x y z (fractional)
S 0.713 0.287 0.713
S 0.287 0.713 0.713
S 0.287 0.287 0.287
S 0.713 0.713 0.287
Li 0.000 0.000 0.000
Ag 0.500 0.000 0.500
Ag 0.500 0.500 0.000
Ag 0.000 0.500 0.500
Ge 0.500 0.500 0.500

Energy above the most stable polymorph in this dataset = 151 meV per atom
Space-group type = P-43m

Record 4
# LiAgGeSe2S

A relaxed LiAgGeSe2S crystal (PBE-GGA, OQMD).

a = 6.265 Å, b = 6.265 Å, c = 10.529 Å
α = 90.00°, β = 90.00°, γ = 143.93°
Element x y z (fractional)
Ge 0.000 0.000 0.000
Ge 0.000 0.000 0.500
Se 0.655 0.345 0.509
Se 0.655 0.345 0.991
Se 0.345 0.655 0.491
Se 0.345 0.655 0.009
Li 0.651 0.349 0.250
Li 0.349 0.651 0.750
Ag 0.373 0.627 0.250
Ag 0.627 0.373 0.750
S 0.969 0.031 0.750
S 0.031 0.969 0.250

E_tot = -44.66 eV for the cell shown
Space-group type = Cmcm

Calculated density in g/cm³, matching the order above: 4.144 3.793 3.683 5.151